# 1
The following is a PBE calculation of K2Br after structural relaxation, from Alexandria via LeMat-Bulk.

Cell and atoms, written as POSCAR:
```
K2Br
1.0
4.666 0.000 0.000
-2.333 4.041 0.000
0.000 0.000 8.046
K Br
2 1
direct
0.333 0.667 0.252
0.667 0.333 0.748
0.000 0.000 0.500
```

Final energy in eV/f.u.: -7.2
Energy relative to the elements, uncorrected in eV per atom: -1.11
DOS(E_F) in states/eV per cell: 0.87

---

# 2
The following is a PBE calculation of KBr after structural relaxation, from Alexandria via LeMat-Bulk.

Cell and atoms, written as POSCAR:
```
KBr
1.0
12.364 0.000 0.000
-6.182 10.708 0.000
0.000 0.000 5.594
K Br
6 6
direct
0.074 0.408 0.250
0.334 0.926 0.250
0.408 0.334 0.750
0.592 0.666 0.250
0.666 0.074 0.750
0.926 0.592 0.750
0.074 0.671 0.250
0.329 0.403 0.250
0.403 0.074 0.750
0.597 0.926 0.250
0.671 0.597 0.750
0.926 0.329 0.750
```

Final energy in eV/f.u.: -6.1
Energy relative to the elements, uncorrected in eV per atom: -1.64
DOS(E_F) in states/eV per cell: 0.00

---

# 3
The following is a PBE calculation of KBr after structural relaxation, from Alexandria via LeMat-Bulk.

Cell and atoms, written as POSCAR:
```
KBr
1.0
4.584 0.000 0.000
-2.292 3.970 0.000
0.000 0.000 4.143
K Br
1 1
direct
0.000 0.000 0.000
0.333 0.667 0.500
```

Final energy in eV/f.u.: -6.2
Energy relative to the elements, uncorrected in eV per atom: -1.70
DOS(E_F) in states/eV per cell: 0.00

---

# 4
The following is a PBE calculation of K3Br after structural relaxation, from Alexandria via LeMat-Bulk.

Cell and atoms, written as POSCAR:
```
K3Br
1.0
-2.159 6.699 3.976
2.159 -6.699 3.976
2.159 6.699 -3.976
K Br
3 1
direct
0.000 0.000 0.000
0.312 0.479 0.832
0.647 0.479 0.168
0.321 0.821 0.500
```

Final energy in eV/f.u.: -8.1
Energy relative to the elements, uncorrected in eV per atom: -0.78
DOS(E_F) in states/eV per cell: 1.94

---

# 5
The following is a PBE calculation of KBr after structural relaxation, from Alexandria via LeMat-Bulk.

Cell and atoms, written as POSCAR:
```
KBr
1.0
5.657 0.000 0.000
-2.829 4.899 0.000
0.000 0.000 6.624
K Br
2 2
direct
0.333 0.667 0.250
0.667 0.333 0.750
0.333 0.667 0.750
0.667 0.333 0.250
```

Final energy in eV/f.u.: -6.2
Energy relative to the elements, uncorrected in eV per atom: -1.71
DOS(E_F) in states/eV per cell: 0.00

---

# 6
The following is a PBE calculation of KBr after structural relaxation, from Alexandria via LeMat-Bulk.

Cell and atoms, written as POSCAR:
```
KBr
1.0
-2.289 2.289 7.545
2.289 -2.289 7.545
2.289 2.289 -7.545
K Br
2 2
direct
0.375 0.625 0.750
0.625 0.375 0.250
0.125 0.875 0.250
0.875 0.125 0.750
```

Final energy in eV/f.u.: -6.0
Energy relative to the elements, uncorrected in eV per atom: -1.62
DOS(E_F) in states/eV per cell: 0.00

---

# 7
The following is a PBE calculation of KBr3 after structural relaxation, from Alexandria via LeMat-Bulk.

Cell and atoms, written as POSCAR:
```
KBr3
1.0
4.913 0.000 0.000
0.000 4.932 0.000
0.000 0.000 6.351
K Br
1 3
direct
0.000 0.000 0.000
0.000 0.000 0.500
0.500 0.500 0.191
0.500 0.500 0.809
```

Final energy in eV/f.u.: -8.6
Energy relative to the elements, uncorrected in eV per atom: -0.63
DOS(E_F) in states/eV per cell: 3.86

---

# 8
The following is a PBE calculation of K3Br after structural relaxation, from Alexandria via LeMat-Bulk.

Cell and atoms, written as POSCAR:
```
K3Br
1.0
4.623 0.000 0.000
-2.312 4.004 0.000
0.000 0.000 12.014
K Br
3 1
direct
0.000 0.000 0.000
0.667 0.333 0.328
0.667 0.333 0.672
0.000 0.000 0.500
```

Final energy in eV/f.u.: -8.2
Energy relative to the elements, uncorrected in eV per atom: -0.82
DOS(E_F) in states/eV per cell: 1.73

---

# 9
The following is a PBE calculation of KBr3 after structural relaxation, from Alexandria via LeMat-Bulk.

Cell and atoms, written as POSCAR:
```
KBr3
1.0
5.283 -9.132 0.000
5.283 9.132 0.000
0.000 0.000 5.460
K Br
2 6
direct
0.167 0.833 0.750
0.833 0.167 0.250
0.008 0.517 0.250
0.008 0.992 0.250
0.483 0.992 0.250
0.517 0.008 0.750
0.992 0.008 0.750
0.992 0.483 0.750
```

Final energy in eV/f.u.: -9.3
Energy relative to the elements, uncorrected in eV per atom: -0.81
DOS(E_F) in states/eV per cell: 3.26

---

# 10
The following is a PBE calculation of K2Br after structural relaxation, from Alexandria via LeMat-Bulk.

Cell and atoms, written as POSCAR:
```
K2Br
1.0
2.336 -9.565 0.000
2.336 9.565 0.000
0.000 0.000 6.816
K Br
4 2
direct
0.070 0.930 0.750
0.318 0.682 0.750
0.682 0.318 0.250
0.930 0.070 0.250
0.304 0.696 0.250
0.696 0.304 0.750
```

Final energy in eV/f.u.: -7.2
Energy relative to the elements, uncorrected in eV per atom: -1.10
DOS(E_F) in states/eV per cell: 1.61

---

# 11
The following is a PBE calculation of K3Br4 after structural relaxation, from Alexandria via LeMat-Bulk.

Cell and atoms, written as POSCAR:
```
K3Br4
1.0
7.689 0.000 0.000
-3.844 6.659 0.000
0.000 0.000 5.347
K Br
3 4
direct
0.000 0.500 0.000
0.500 0.000 0.000
0.500 0.500 0.000
0.000 0.000 0.251
0.000 0.000 0.749
0.333 0.667 0.500
0.667 0.333 0.500
```

Final energy in eV/f.u.: -18.7
Energy relative to the elements, uncorrected in eV per atom: -1.25
DOS(E_F) in states/eV per cell: 1.53

---

# 12
The following is a PBE calculation of K3Br after structural relaxation, from Alexandria via LeMat-Bulk.

Cell and atoms, written as POSCAR:
```
K3Br
1.0
4.058 -2.332 0.000
4.058 2.332 0.000
-2.619 0.000 11.895
K Br
3 1
direct
0.000 0.000 0.000
0.221 0.221 0.668
0.779 0.779 0.332
0.500 0.500 0.500
```

Final energy in eV/f.u.: -8.3
Energy relative to the elements, uncorrected in eV per atom: -0.83
DOS(E_F) in states/eV per cell: 1.67

---

Repeat the sixth record exactly.
The following is a PBE calculation of KBr after structural relaxation, from Alexandria via LeMat-Bulk.

Cell and atoms, written as POSCAR:
```
KBr
1.0
-2.289 2.289 7.545
2.289 -2.289 7.545
2.289 2.289 -7.545
K Br
2 2
direct
0.375 0.625 0.750
0.625 0.375 0.250
0.125 0.875 0.250
0.875 0.125 0.750
```

Final energy in eV/f.u.: -6.0
Energy relative to the elements, uncorrected in eV per atom: -1.62
DOS(E_F) in states/eV per cell: 0.00

---

Copy entry 1 word for word.
The following is a PBE calculation of K2Br after structural relaxation, from Alexandria via LeMat-Bulk.

Cell and atoms, written as POSCAR:
```
K2Br
1.0
4.666 0.000 0.000
-2.333 4.041 0.000
0.000 0.000 8.046
K Br
2 1
direct
0.333 0.667 0.252
0.667 0.333 0.748
0.000 0.000 0.500
```

Final energy in eV/f.u.: -7.2
Energy relative to the elements, uncorrected in eV per atom: -1.11
DOS(E_F) in states/eV per cell: 0.87

---

- What is the final energy in the eleventh record?
  -18.7 eV/f.u.